1.
The following is a DFT calculation (PBE) of a relaxed Pm2HoGa crystal.

The structure in POSCAR format:
```
Pm2HoGa
1.0
3.587 0.000 0.000
0.000 3.587 0.000
0.000 0.000 9.006
Pm Ho Ga
2 1 1
Direct
0.000 0.000 0.212 Pm
0.000 0.000 0.788 Pm
0.500 0.500 0.500 Ho
0.500 0.500 0.000 Ga
```

## Properties
Relative energy among the computed polymorphs (eV per formula unit): 0.089
Fermi-level density of states (states/eV per atom): 1.11
Total magnetic moment (μB per atom): 0.00
Space-group type: P4/mmm (123)


2.
The following is a DFT calculation (PBE) of a relaxed Tb2YAu crystal.

The structure in POSCAR format:
```
Tb2YAu
1.0
4.875 0.000 0.000
0.000 11.761 0.000
0.000 0.000 8.031
Tb Y Au
8 4 4
Direct
0.000 0.144 0.039 Tb
0.000 0.144 0.461 Tb
0.000 0.856 0.539 Tb
0.000 0.856 0.961 Tb
0.500 0.356 0.539 Tb
0.500 0.356 0.961 Tb
0.500 0.644 0.039 Tb
0.500 0.644 0.461 Tb
0.000 0.454 0.250 Y
0.000 0.546 0.750 Y
0.500 0.046 0.750 Y
0.500 0.954 0.250 Y
0.000 0.291 0.750 Au
0.000 0.709 0.250 Au
0.500 0.209 0.250 Au
0.500 0.791 0.750 Au
```

## Properties
Relative energy among the computed polymorphs (eV per formula unit): 0.170
Fermi-level density of states (states/eV per atom): 1.22
Total magnetic moment (μB per atom): 0.00
Space-group type: Cmcm (63)


3.
The following is a DFT calculation (PBE) of a relaxed K2Tl6InAg crystal.

The structure in POSCAR format:
```
K2Tl6InAg
1.0
3.932 2.270 13.159
-3.932 2.270 13.159
0.000 -4.540 13.159
K Tl In Ag
4 12 2 2
Direct
0.103 0.103 0.103 K
0.279 0.279 0.279 K
0.721 0.721 0.721 K
0.897 0.897 0.897 K
0.078 0.665 0.665 Tl
0.222 0.222 0.641 Tl
0.222 0.641 0.222 Tl
0.335 0.335 0.922 Tl
0.335 0.922 0.335 Tl
0.359 0.778 0.778 Tl
0.641 0.222 0.222 Tl
0.665 0.078 0.665 Tl
0.665 0.665 0.078 Tl
0.778 0.359 0.778 Tl
0.778 0.778 0.359 Tl
0.922 0.335 0.335 Tl
0.426 0.426 0.426 In
0.574 0.574 0.574 In
0.000 0.000 0.000 Ag
0.500 0.500 0.500 Ag
```

## Properties
Fermi-level density of states (states/eV per atom): 0.70
Total magnetic moment (μB per atom): 0.00
Electronic total energy (eV/atom): -2.175
Space-group type: R-3m (166)


4.
The following is a DFT calculation (PBE) of a relaxed Y2Al3Au2 crystal.

The structure in POSCAR format:
```
Y2Al3Au2
1.0
10.583 0.000 0.000
0.000 4.345 0.000
-2.855 0.000 6.220
Y Al Au
4 6 4
Direct
0.148 0.000 0.280 Y
0.352 0.500 0.720 Y
0.648 0.500 0.280 Y
0.852 0.000 0.720 Y
0.000 0.500 0.500 Al
0.104 0.500 0.931 Al
0.396 0.000 0.069 Al
0.500 0.000 0.500 Al
0.604 0.000 0.931 Al
0.896 0.500 0.069 Al
0.149 0.000 0.740 Au
0.351 0.500 0.260 Au
0.649 0.500 0.740 Au
0.851 0.000 0.260 Au
```

## Properties
Fermi-level density of states (states/eV per atom): 0.33
Total magnetic moment (μB per atom): 0.00
Electronic total energy (eV/atom): -5.091
Space-group type: C2/m (12)


5.
The following is a DFT calculation (PBE) of a relaxed Lu2TlPb crystal.

The structure in POSCAR format:
```
Lu2TlPb
1.0
4.952 0.000 0.000
0.000 4.952 0.000
0.000 0.000 4.337
Lu Tl Pb
2 1 1
Direct
0.000 0.500 0.000 Lu
0.500 0.000 0.000 Lu
0.000 0.000 0.500 Tl
0.500 0.500 0.500 Pb
```

## Properties
Fermi-level density of states (states/eV per atom): 0.76
Total magnetic moment (μB per atom): 0.00
Electronic total energy (eV/atom): -4.074
Space-group type: P4/mmm (123)


6.
The following is a DFT calculation (PBE) of a relaxed BaNaLaI6 crystal.

The structure in POSCAR format:
```
BaNaLaI6
1.0
8.215 0.000 0.000
-4.108 7.115 0.000
0.000 0.000 15.042
Ba Na La I
2 2 2 12
Direct
0.000 0.000 0.000 Ba
0.000 0.000 0.500 Ba
0.333 0.667 0.250 Na
0.667 0.333 0.750 Na
0.333 0.667 0.750 La
0.667 0.333 0.250 La
0.006 0.357 0.629 I
0.006 0.649 0.871 I
0.351 0.357 0.871 I
0.351 0.994 0.629 I
0.357 0.006 0.129 I
0.357 0.351 0.371 I
0.643 0.649 0.629 I
0.643 0.994 0.871 I
0.649 0.006 0.371 I
0.649 0.643 0.129 I
0.994 0.351 0.129 I
0.994 0.643 0.371 I
```

## Properties
Fermi-level density of states (states/eV per atom): 0.00
Total magnetic moment (μB per atom): 0.00
ΔE_f (raw) (eV per formula unit): -13.74
Space-group type: P-31c (163)